Entry 1:
Crystalline Pm4YIn5 at its relaxed geometry. Source: Alexandria, functional PBE.

abc: 3.8287 3.8287 19.1914
angles: 90.00 90.00 90.00
Atoms (fractional coordinates):
Pm: 0.0000 0.0000 0.1009
Pm: 0.0000 0.0000 0.3034
Pm: 0.0000 0.0000 0.6966
Pm: 0.0000 0.0000 0.8991
Y: 0.0000 0.0000 0.5000
In: 0.5000 0.5000 0.0000
In: 0.5000 0.5000 0.2020
In: 0.5000 0.5000 0.4054
In: 0.5000 0.5000 0.5946
In: 0.5000 0.5000 0.7980

---

Entry 2:
Crystalline GeBi2H at its relaxed geometry. Source: Alexandria, functional PBE.

abc: 4.9974 4.9974 4.9974
angles: 60.00 60.00 60.00
Atoms (fractional coordinates):
Ge: 0.0000 0.0000 0.0000
Bi: 0.2500 0.2500 0.2500
Bi: 0.7500 0.7500 0.7500
H: 0.5000 0.5000 0.5000

---

For reference, raw total energy by record: -44.144 -13.737 eV/cell.